(1)
Here is an optimized crystal structure of LaReW2 from Alexandria via LeMat-Bulk. Energies are from PBE.

Symmetry: Cmm2 (35)
Energy of formation in eV per atom: 0.45
ΔE to the lowest computed polymorph in eV per atom: 0.023

Cell and atoms, written as extended XYZ:
```
8
Lattice="3.203 0.000 0.000 0.000 4.740 0.000 0.000 0.000 9.741" Properties=species:S:1:pos:R:3 pbc="T T T"
La 0.000 0.000 0.000
La 1.601 2.370 0.000
Re 0.000 2.370 2.685
Re 1.601 0.000 2.685
W 0.000 0.000 4.790
W 0.000 2.370 6.938
W 1.601 0.000 6.938
W 1.601 2.370 4.790
```



(2)
Here is an optimized crystal structure of Sn4SbAs3 from Alexandria via LeMat-Bulk. Energies are from PBE.

Symmetry: R3m (160)
ΔE_f (raw) in eV per atom: 0.056

Cell and atoms, written as extended XYZ:
```
8
Lattice="2.417 1.395 12.183 -2.417 1.395 12.183 0.000 -2.791 12.183" Properties=species:S:1:pos:R:3 pbc="T T T"
Sn 0.000 0.000 0.000
Sn 0.000 0.000 8.208
Sn 0.000 0.000 17.815
Sn 0.000 0.000 26.792
Sb 0.000 0.000 33.570
As 0.000 0.000 5.541
As 0.000 0.000 15.077
As 0.000 0.000 24.070
```



(3)
Here is an optimized crystal structure of TbHfPt from Alexandria via LeMat-Bulk. Energies are from PBE.

Symmetry: P-62m (189)
Energy of formation in eV per atom: -0.84

Cell and atoms, written as extended XYZ:
```
9
Lattice="7.079 0.000 0.000 -3.539 6.130 0.000 0.000 0.000 4.724" Properties=species:S:1:pos:R:3 pbc="T T T"
Tb -2.081 3.605 0.000
Tb 1.458 2.525 0.000
Tb 4.163 0.000 0.000
Hf -0.899 1.557 2.362
Hf 1.798 0.000 2.362
Hf 2.640 4.573 2.362
Pt 0.000 0.000 0.000
Pt 0.000 4.087 2.362
Pt 3.539 2.043 2.362
```



(4)
Here is an optimized crystal structure of Hf2VAs from Alexandria via LeMat-Bulk. Energies are from PBE.

Symmetry: I-42d (122)
Energy of formation in eV per atom: 0.20

Cell and atoms, written as extended XYZ:
```
16
Lattice="7.469 0.000 0.000 0.000 7.469 0.000 0.000 0.000 5.735" Properties=species:S:1:pos:R:3 pbc="T T T"
Hf 1.738 1.867 0.717
Hf 1.867 5.472 2.151
Hf 1.867 5.731 5.018
Hf 1.997 1.867 3.584
Hf 5.472 5.602 3.584
Hf 5.602 1.738 5.018
Hf 5.602 1.997 2.151
Hf 5.731 5.602 0.717
V 0.000 0.000 2.867
V 0.000 3.735 4.301
V 3.735 0.000 1.434
V 3.735 3.735 0.000
As 0.000 0.000 0.000
As 0.000 3.735 1.434
As 3.735 0.000 4.301
As 3.735 3.735 2.867
```



(5)
Here is an optimized crystal structure of CsGePO2 from Alexandria via LeMat-Bulk. Energies are from PBE.

Symmetry: P4/mmm (123)
ΔE to the lowest computed polymorph in eV per atom: 0.000
ΔE_f (raw) in eV per atom: -0.220

Cell and atoms, written as extended XYZ:
```
5
Lattice="4.079 0.000 0.000 0.000 4.079 0.000 0.000 0.000 4.964" Properties=species:S:1:pos:R:3 pbc="T T T"
Cs 0.000 0.000 0.000
Ge 2.039 2.039 2.482
P 2.039 2.039 0.000
O 0.000 2.039 2.482
O 2.039 0.000 2.482
```



(6)
Here is an optimized crystal structure of ThFeCo2H8 from Alexandria via LeMat-Bulk. Energies are from PBE.

Symmetry: R-3 (148)

Cell and atoms, written as extended XYZ:
```
12
Lattice="2.207 1.274 5.283 -2.207 1.274 5.283 0.000 -2.549 5.283" Properties=species:S:1:pos:R:3 pbc="T T T"
Th 0.000 0.000 0.000
Fe 0.000 0.000 7.924
Co 0.000 0.000 3.211
Co 0.000 0.000 12.637
H -1.453 0.186 7.176
H -0.887 -1.165 8.673
H 0.000 0.000 4.855
H 0.565 -1.351 7.176
H -0.565 1.351 8.673
H 0.000 0.000 10.994
H 0.887 1.165 7.176
H 1.453 -0.186 8.673
```



(7)
Here is an optimized crystal structure of TbScTl2 from Alexandria via LeMat-Bulk. Energies are from PBE.

Symmetry: P4/mmm (123)
Energy of formation in eV per atom: -0.29

Cell and atoms, written as extended XYZ:
```
4
Lattice="4.883 0.000 0.000 0.000 4.883 0.000 0.000 0.000 4.286" Properties=species:S:1:pos:R:3 pbc="T T T"
Tb 0.000 0.000 0.000
Sc 2.441 2.441 0.000
Tl 0.000 2.441 2.143
Tl 2.441 0.000 2.143
```



(8)
Here is an optimized crystal structure of CdGa2TePb from Alexandria via LeMat-Bulk. Energies are from PBE.

Symmetry: P4/mmm (123)
ΔE_f (raw) in eV per atom: 0.251

Cell and atoms, written as extended XYZ:
```
5
Lattice="5.108 0.000 0.000 0.000 5.108 0.000 0.000 0.000 5.899" Properties=species:S:1:pos:R:3 pbc="T T T"
Cd 0.000 0.000 0.000
Ga 0.000 2.554 0.000
Ga 2.554 0.000 0.000
Te 2.554 2.554 2.949
Pb 0.000 0.000 2.949
```



(9)
Here is an optimized crystal structure of Cs2BaAsSe4 from Alexandria via LeMat-Bulk. Energies are from PBE.

Symmetry: Fddd (70)
ΔE_f (raw) in eV per atom: -0.859

Cell and atoms, written as extended XYZ:
```
16
Lattice="0.000 7.542 13.802 3.625 0.000 13.802 3.625 7.542 0.000" Properties=species:S:1:pos:R:3 pbc="T T T"
Cs 2.718 5.657 1.744
Cs 4.531 9.428 8.645
Cs 2.718 5.657 18.958
Cs 4.531 9.428 25.859
Ba 0.906 1.886 3.450
Ba 6.343 13.199 24.153
As 2.718 5.657 10.351
As 4.531 9.428 17.252
Se 4.075 4.092 8.945
Se 4.075 7.222 11.758
Se 5.887 7.863 18.658
Se 5.887 10.993 15.846
Se 1.362 4.092 11.758
Se 1.362 7.222 8.945
Se 3.174 7.863 15.846
Se 3.174 10.993 18.658
```



(10)
Here is an optimized crystal structure of HoMgTlIn from Alexandria via LeMat-Bulk. Energies are from PBE.

Symmetry: Pmmm (47)
Energy of formation in eV per atom: -0.31
ΔE to the lowest computed polymorph in eV per atom: 0.000

Cell and atoms, written as extended XYZ:
```
4
Lattice="4.493 0.000 0.000 0.000 4.657 0.000 0.000 0.000 4.688" Properties=species:S:1:pos:R:3 pbc="T T T"
Ho 0.000 0.000 0.000
Mg 0.000 2.328 2.344
Tl 2.247 0.000 2.344
In 2.247 2.328 0.000
```



(11)
Here is an optimized crystal structure of Mg2AlCr from Alexandria via LeMat-Bulk. Energies are from PBE.

Symmetry: C2/m (12)
Energy of formation in eV per atom: 0.22

Cell and atoms, written as extended XYZ:
```
16
Lattice="9.582 0.000 0.000 0.000 4.370 0.000 -2.412 0.000 6.430" Properties=species:S:1:pos:R:3 pbc="T T T"
Mg 0.000 0.000 0.000
Mg -1.206 0.000 3.215
Mg 1.915 2.185 0.919
Mg 0.464 0.000 5.511
Mg 4.791 2.185 0.000
Mg 3.585 2.185 3.215
Mg 6.706 0.000 0.919
Mg 5.254 2.185 5.511
Al -1.691 2.185 4.623
Al 4.070 0.000 1.807
Al 3.100 0.000 4.623
Al 8.860 2.185 1.807
Cr 1.397 0.000 2.655
Cr 0.982 2.185 3.775
Cr 5.772 0.000 3.775
Cr 6.188 2.185 2.655
```



(12)
Here is an optimized crystal structure of GdYErCd from Alexandria via LeMat-Bulk. Energies are from PBE.

Symmetry: F-43m (216)
Energy of formation in eV per atom: -0.04

Cell and atoms, written as extended XYZ:
```
16
Lattice="7.711 0.000 0.000 0.000 7.711 0.000 0.000 0.000 7.711" Properties=species:S:1:pos:R:3 pbc="T T T"
Gd 0.000 0.000 0.000
Gd 0.000 3.856 3.856
Gd 3.856 0.000 3.856
Gd 3.856 3.856 0.000
Y 0.000 0.000 3.856
Y 0.000 3.856 0.000
Y 3.856 0.000 0.000
Y 3.856 3.856 3.856
Er 1.928 1.928 1.928
Er 1.928 5.783 5.783
Er 5.783 1.928 5.783
Er 5.783 5.783 1.928
Cd 1.928 1.928 5.783
Cd 1.928 5.783 1.928
Cd 5.783 1.928 1.928
Cd 5.783 5.783 5.783
```



(13)
Here is an optimized crystal structure of V2GePd from Alexandria via LeMat-Bulk. Energies are from PBE.

Symmetry: R-3m (166)
Energy of formation in eV per atom: 0.24

Cell and atoms, written as extended XYZ:
```
12
Lattice="2.766 0.000 0.000 -1.383 2.395 0.000 0.000 0.000 27.926" Properties=species:S:1:pos:R:3 pbc="T T T"
V 0.000 0.000 2.448
V 0.000 0.000 25.477
V 0.000 1.597 16.169
V 0.000 1.597 21.065
V 1.383 0.798 6.860
V 1.383 0.798 11.757
Ge 0.000 0.000 0.000
Ge 0.000 1.597 18.617
Ge 1.383 0.798 9.309
Pd 0.000 0.000 13.963
Pd 0.000 1.597 4.654
Pd 1.383 0.798 23.271
```



(14)
Here is an optimized crystal structure of Zr2Al2Zn from Alexandria via LeMat-Bulk. Energies are from PBE.

Symmetry: C2/m (12)
Energy of formation in eV per atom: -0.42
ΔE to the lowest computed polymorph in eV per atom: 0.000

Cell and atoms, written as extended XYZ:
```
10
Lattice="5.118 -2.058 0.000 5.118 2.058 0.000 -4.381 0.000 8.909" Properties=species:S:1:pos:R:3 pbc="T T T"
Zr 9.470 0.000 1.557
Zr -3.615 0.000 7.352
Zr -0.777 0.000 5.363
Zr 6.632 0.000 3.546
Al -0.447 0.000 8.333
Al 2.089 0.000 5.452
Al 3.766 0.000 3.457
Al 6.302 0.000 0.575
Zn 2.191 0.000 1.501
Zn 3.664 0.000 7.408
```



(15)
Here is an optimized crystal structure of Sm2GeP3Ir4 from Alexandria via LeMat-Bulk. Energies are from PBE.

Symmetry: P-4m2 (115)
Energy of formation in eV per atom: -0.91

Cell and atoms, written as extended XYZ:
```
10
Lattice="4.141 0.000 0.000 0.000 4.141 0.000 0.000 0.000 9.906" Properties=species:S:1:pos:R:3 pbc="T T T"
Sm 0.000 2.070 2.465
Sm 2.070 0.000 7.441
Ge 2.070 2.070 0.000
P 0.000 0.000 0.000
P 0.000 2.070 6.309
P 2.070 0.000 3.597
Ir 0.000 0.000 4.953
Ir 0.000 2.070 8.630
Ir 2.070 0.000 1.276
Ir 2.070 2.070 4.953
```



(16)
Here is an optimized crystal structure of Li2GePd2 from Alexandria via LeMat-Bulk. Energies are from PBE.

Symmetry: Ibam (72)
Energy of formation in eV per atom: -0.35
ΔE to the lowest computed polymorph in eV per atom: 0.197

Cell and atoms, written as extended XYZ:
```
10
Lattice="-2.545 5.867 2.563 2.545 -5.867 2.563 2.545 5.867 -2.563" Properties=species:S:1:pos:R:3 pbc="T T T"
Li 0.617 1.301 0.000
Li 0.617 -1.301 2.563
Li 1.927 7.168 0.000
Li 1.927 4.566 2.563
Ge 2.545 0.000 1.282
Ge 0.000 5.867 1.282
Pd 3.297 2.051 0.000
Pd 0.753 3.816 0.000
Pd 1.792 2.051 2.563
Pd -0.753 3.816 2.563
```



(17)
Here is an optimized crystal structure of Cs5Hg4Pd from Alexandria via LeMat-Bulk. Energies are from PBE.

Symmetry: C2/m (12)
Energy of formation in eV per atom: -0.18

Cell and atoms, written as extended XYZ:
```
10
Lattice="11.752 -2.514 0.000 11.752 2.514 0.000 -3.039 0.000 8.709" Properties=species:S:1:pos:R:3 pbc="T T T"
Cs 0.000 0.000 0.000
Cs 4.957 0.000 6.186
Cs 7.936 0.000 2.034
Cs 12.530 0.000 6.675
Cs 15.508 0.000 2.524
Hg 1.321 0.000 3.936
Hg 9.093 0.000 5.534
Hg 11.372 0.000 3.175
Hg 19.145 0.000 4.773
Pd -1.519 0.000 4.355
```



(18)
Here is an optimized crystal structure of Mg2VBiAu from Alexandria via LeMat-Bulk. Energies are from PBE.

Symmetry: P4/mmm (123)
Energy of formation in eV per atom: 0.37

Cell and atoms, written as extended XYZ:
```
5
Lattice="5.029 0.000 0.000 0.000 5.029 0.000 0.000 0.000 4.958" Properties=species:S:1:pos:R:3 pbc="T T T"
Mg 0.000 2.514 0.000
Mg 2.514 0.000 0.000
V 0.000 0.000 2.479
Bi 2.514 2.514 2.479
Au 0.000 0.000 0.000
```



(19)
Here is an optimized crystal structure of Be2TcCl from Alexandria via LeMat-Bulk. Energies are from PBE.

Symmetry: I-42d (122)
ΔE to the lowest computed polymorph in eV per atom: 0.553
ΔE_f (raw) in eV per atom: 0.678

Cell and atoms, written as extended XYZ:
```
16
Lattice="6.258 0.000 0.000 0.000 6.258 0.000 0.000 0.000 5.089" Properties=species:S:1:pos:R:3 pbc="T T T"
Be 1.410 1.565 0.636
Be 1.565 4.539 1.908
Be 1.565 4.849 4.453
Be 1.719 1.565 3.181
Be 4.539 4.694 3.181
Be 4.694 1.410 4.453
Be 4.694 1.719 1.908
Be 4.849 4.694 0.636
Tc 0.000 0.000 2.545
Tc 0.000 3.129 3.817
Tc 3.129 0.000 1.272
Tc 3.129 3.129 0.000
Cl 0.000 0.000 0.000
Cl 0.000 3.129 1.272
Cl 3.129 0.000 3.817
Cl 3.129 3.129 2.545
```



(20)
Here is an optimized crystal structure of MgTi2C from Alexandria via LeMat-Bulk. Energies are from PBE.

Symmetry: R3m (160)
Energy of formation in eV per atom: -0.46

Cell and atoms, written as extended XYZ:
```
12
Lattice="3.106 0.000 0.000 -1.553 2.690 0.000 0.000 0.000 22.396" Properties=species:S:1:pos:R:3 pbc="T T T"
Mg 0.000 0.000 0.000
Mg 0.000 1.793 14.931
Mg 1.553 0.897 7.465
Ti 0.000 0.000 4.855
Ti 0.000 0.000 10.082
Ti 0.000 1.793 2.617
Ti 0.000 1.793 19.786
Ti 1.553 0.897 12.320
Ti 1.553 0.897 17.547
C 0.000 0.000 18.663
C 0.000 1.793 11.198
C 1.553 0.897 3.733
```



Number 1: energy -10.37 eV/atom, N(E_F) 6.0 states/eV per cell, mass density 15.558 g/cm3. Number 2: energy -4.20 eV/atom, N(E_F) 3.2 states/eV per cell, mass density 5.533 g/cm3. Number 3: energy -7.72 eV/atom, N(E_F) 5.1 states/eV per cell, mass density 12.939 g/cm3. Number 4: energy -8.22 eV/atom, N(E_F) 18.1 states/eV per cell, mass density 10.024 g/cm3. Number 5: energy -4.38 eV/atom, N(E_F) 3.0 states/eV per cell, mass density 5.400 g/cm3. Number 6: energy -4.91 eV/atom, N(E_F) 5.3 states/eV per cell, mass density 7.707 g/cm3. Number 7: energy -4.21 eV/atom, N(E_F) 3.3 states/eV per cell, mass density 9.956 g/cm3. Number 8: energy -2.51 eV/atom, N(E_F) 2.0 states/eV per cell, mass density 6.330 g/cm3. Number 9: energy -3.64 eV/atom, N(E_F) 9.4 states/eV per cell, mass density 3.494 g/cm3. Number 10: energy -3.13 eV/atom, N(E_F) 2.3 states/eV per cell, mass density 8.607 g/cm3. Number 11: energy -3.92 eV/atom, N(E_F) 7.8 states/eV per cell, mass density 3.148 g/cm3. Number 12: energy -6.54 eV/atom, N(E_F) 20.8 states/eV per cell, mass density 7.617 g/cm3. Number 13: energy -6.78 eV/atom, N(E_F) 14.0 states/eV per cell, mass density 7.565 g/cm3. Number 14: energy -5.59 eV/atom, N(E_F) 6.0 states/eV per cell, mass density 5.342 g/cm3. Number 15: energy -7.48 eV/atom, N(E_F) 5.5 states/eV per cell, mass density 12.077 g/cm3. Number 16: energy -4.12 eV/atom, N(E_F) 2.9 states/eV per cell, mass density 6.495 g/cm3. Number 17: energy -1.24 eV/atom, N(E_F) 6.1 states/eV per cell, mass density 5.076 g/cm3. Number 18: energy -3.53 eV/atom, N(E_F) 6.6 states/eV per cell, mass density 6.694 g/cm3. Number 19: energy -4.24 eV/atom, N(E_F) 13.5 states/eV per cell, mass density 5.048 g/cm3. Number 20: energy -7.11 eV/atom, N(E_F) 8.8 states/eV per cell, mass density 3.516 g/cm3.